Entry 1:
Material: Tm2Al9Cu3
Method: DFT, PBE-GGA
State: relaxed

Calculated values
Space-group type ... C2/c
E ... -4.20 eV/atom
ΔH_f (0 K) ... -275.9 meV/atom
Fermi-level density of states ... 0.443 states/eV per atom
Size of the total moment ... 0.000 μB per atom
Calculated density ... 5.45 Mg/m³

Cell lengths 7.550, 7.550, 10.489 Å; angles 90.27, 110.47, 120.50 degrees
Element x y z (fractional)
1 Al 0.871 0.018 0.058
2 Al 0.331 0.290 0.249
3 Al 0.786 0.478 0.428
4 Al 0.540 0.187 0.558
5 Al 0.880 0.858 0.569
6 Al 0.211 0.690 0.069
7 Al 0.129 0.982 0.942
8 Al 0.789 0.310 0.931
9 Al 0.550 0.358 0.072
10 Al 0.450 0.642 0.928
11 Al 0.117 0.867 0.250
12 Al 0.669 0.710 0.751
13 Al 0.120 0.142 0.431
14 Al 0.541 0.082 0.251
15 Al 0.460 0.813 0.442
16 Al 0.214 0.522 0.572
17 Al 0.883 0.133 0.750
18 Al 0.459 0.918 0.749
19 Tm 0.338 0.249 0.750
20 Tm 0.001 0.413 0.250
21 Tm 0.999 0.587 0.750
22 Tm 0.662 0.751 0.250
23 Cu 0.827 0.658 0.997
24 Cu 0.500 0.000 0.000
25 Cu 0.173 0.342 0.003
26 Cu 0.500 0.500 0.500
27 Cu 0.161 0.829 0.503
28 Cu 0.839 0.171 0.497

=====

Entry 2:
Material: TmAl4Cu2
Method: DFT, PBE-GGA
State: relaxed

Calculated values
Space-group type ... P4_2/mnm
E ... -4.27 eV/atom
ΔH_f (0 K) ... -322.9 meV/atom
Fermi-level density of states ... 0.525 states/eV per atom
Size of the total moment ... 0.000 μB per atom
Calculated density ... 5.74 Mg/m³
Energy above the most stable polymorph in this dataset ... 39.0 meV/atom

Cell lengths 3.906, 7.736, 7.736 Å; angles 90.00, 90.00, 90.00 degrees
Element x y z (fractional)
1 Al 0.500 0.587 0.168
2 Al 0.500 0.413 0.832
3 Al 0.000 0.087 0.332
4 Al 0.500 0.832 0.413
5 Al 0.000 0.668 0.913
6 Al 0.000 0.913 0.668
7 Al 0.500 0.168 0.587
8 Al 0.000 0.332 0.087
9 Tm 0.500 0.000 0.000
10 Tm 0.000 0.500 0.500
11 Cu 0.500 0.707 0.707
12 Cu 0.000 0.793 0.207
13 Cu 0.000 0.207 0.793
14 Cu 0.500 0.293 0.293

=====

Entry 3:
Material: Tm3Al12Cu
Method: DFT, PBE-GGA
State: relaxed

Calculated values
Space-group type ... P4/mmm
E ... -4.20 eV/atom
ΔH_f (0 K) ... -295.6 meV/atom
Fermi-level density of states ... 0.304 states/eV per atom
Size of the total moment ... 0.000 μB per atom
Calculated density ... 5.16 Mg/m³

Cell lengths 4.196, 4.196, 16.338 Å; angles 90.00, 90.00, 90.00 degrees
Element x y z (fractional)
1 Al 0.500 0.000 0.106
2 Al 0.500 0.500 0.759
3 Al 0.000 0.500 0.370
4 Al 0.500 0.500 0.500
5 Al 0.500 0.500 0.000
6 Al 0.500 0.000 0.630
7 Al 0.500 0.500 0.241
8 Al 0.000 0.500 0.630
9 Al 0.500 0.000 0.370
10 Al 0.000 0.500 0.106
11 Al 0.500 0.000 0.894
12 Al 0.000 0.500 0.894
13 Tm 0.000 0.000 0.500
14 Tm 0.000 0.000 0.760
15 Tm 0.000 0.000 0.240
16 Cu 0.000 0.000 0.000

=====

Entry 4:
Material: Tm2Al3Cu4
Method: DFT, PBE-GGA
State: relaxed

Calculated values
Space-group type ... Cmce
E ... -4.42 eV/atom
ΔH_f (0 K) ... -354.9 meV/atom
Fermi-level density of states ... 0.523 states/eV per atom
Size of the total moment ... 0.000 μB per atom
Calculated density ... 7.42 Mg/m³

Cell lengths 5.455, 7.230, 8.109 Å; angles 90.00, 109.65, 90.00 degrees
Element x y z (fractional)
1 Cu 0.171 0.986 0.342
2 Cu 0.329 0.486 0.658
3 Cu 0.681 0.750 0.862
4 Cu 0.671 0.514 0.342
5 Cu 0.181 0.750 0.862
6 Cu 0.819 0.250 0.138
7 Cu 0.829 0.014 0.658
8 Cu 0.319 0.250 0.138
9 Tm 0.899 0.402 0.797
10 Tm 0.399 0.098 0.797
11 Tm 0.101 0.598 0.203
12 Tm 0.601 0.902 0.203
13 Al 0.515 0.750 0.531
14 Al 0.500 0.500 0.000
15 Al 0.985 0.250 0.469
16 Al 0.485 0.250 0.469
17 Al 0.015 0.750 0.531
18 Al 0.000 0.000 0.000

=====

Entry 5:
Material: TmAlCu
Method: DFT, PBE-GGA
State: relaxed

Calculated values
Space-group type ... I4mm
E ... -4.36 eV/atom
ΔH_f (0 K) ... -252.8 meV/atom
Fermi-level density of states ... 0.730 states/eV per atom
Size of the total moment ... 0.000 μB per atom
Calculated density ... 7.82 Mg/m³

Cell lengths 3.182, 3.182, 5.885 Å; angles 105.69, 105.69, 90.00 degrees
Element x y z (fractional)
1 Al 0.644 0.644 0.287
2 Cu 0.263 0.263 0.527
3 Tm 0.943 0.943 0.886

=====

Entry 6:
Material: Tm2Al9Cu
Method: DFT, PBE-GGA
State: relaxed

Calculated values
Space-group type ... P4/mmm
E ... -4.15 eV/atom
ΔH_f (0 K) ... -260.2 meV/atom
Fermi-level density of states ... 0.249 states/eV per atom
Size of the total moment ... 0.000 μB per atom
Calculated density ... 5.04 Mg/m³

Cell lengths 4.180, 4.180, 12.157 Å; angles 90.00, 90.00, 90.00 degrees
Element x y z (fractional)
1 Al 0.500 0.000 0.856
2 Al 0.500 0.000 0.144
3 Al 0.000 0.500 0.144
4 Al 0.500 0.500 0.000
5 Al 0.500 0.500 0.327
6 Al 0.500 0.500 0.673
7 Al 0.500 0.000 0.500
8 Al 0.000 0.500 0.500
9 Al 0.000 0.500 0.856
10 Tm 0.000 0.000 0.676
11 Tm 0.000 0.000 0.324
12 Cu 0.000 0.000 0.000

=====

Entry 7:
Material: TmAlCu
Method: DFT, PBE-GGA
State: relaxed

Calculated values
Space-group type ... P-62m
E ... -4.58 eV/atom
ΔH_f (0 K) ... -476.5 meV/atom
Fermi-level density of states ... 0.409 states/eV per atom
Size of the total moment ... 0.000 μB per atom
Calculated density ... 7.74 Mg/m³

Cell lengths 7.110, 7.110, 3.816 Å; angles 90.00, 90.00, 120.00 degrees
Element x y z (fractional)
1 Cu 0.000 0.000 0.000
2 Cu 0.333 0.667 0.500
3 Cu 0.667 0.333 0.500
4 Tm 0.585 0.000 0.000
5 Tm 0.415 0.415 0.000
6 Tm 0.000 0.585 0.000
7 Al 0.242 0.000 0.500
8 Al 0.000 0.242 0.500
9 Al 0.758 0.758 0.500

=====

Entry 8:
Material: Tm2Al12Cu7
Method: DFT, PBE-GGA
State: relaxed

Calculated values
Space-group type ... P-3
E ... -4.22 eV/atom
ΔH_f (0 K) ... -285.5 meV/atom
Fermi-level density of states ... 0.344 states/eV per atom
Size of the total moment ... 0.000 μB per atom
Calculated density ... 5.43 Mg/m³

Cell lengths 3.897, 10.014, 10.014 Å; angles 120.00, 90.00, 90.00 degrees
Element x y z (fractional)
1 Al 0.746 0.888 0.735
2 Al 0.751 0.049 0.434
3 Al 0.746 0.847 0.112
4 Al 0.746 0.265 0.153
5 Al 0.751 0.566 0.615
6 Al 0.249 0.951 0.566
7 Al 0.254 0.735 0.847
8 Al 0.249 0.615 0.049
9 Al 0.254 0.153 0.888
10 Al 0.254 0.112 0.265
11 Al 0.249 0.434 0.385
12 Al 0.751 0.385 0.951
13 Cu 0.244 0.711 0.584
14 Cu 0.756 0.289 0.416
15 Cu 0.756 0.127 0.711
16 Cu 0.244 0.873 0.289
17 Cu 0.244 0.416 0.127
18 Cu 0.500 0.000 0.000
19 Cu 0.756 0.584 0.873
20 Tm 0.262 0.333 0.667
21 Tm 0.738 0.667 0.333

=====

Entry 9:
Material: Tm2Al5Cu4
Method: DFT, PBE-GGA
State: relaxed

Calculated values
Space-group type ... Fmmm
E ... -4.31 eV/atom
ΔH_f (0 K) ... -309.5 meV/atom
Fermi-level density of states ... 0.480 states/eV per atom
Size of the total moment ... 0.000 μB per atom
Calculated density ... 6.36 Mg/m³

Cell lengths 5.414, 5.403, 7.970 Å; angles 80.20, 70.15, 59.93 degrees
Element x y z (fractional)
1 Cu 0.507 0.718 0.269
2 Cu 0.775 0.718 0.731
3 Cu 0.225 0.282 0.269
4 Cu 0.493 0.282 0.731
5 Al 0.000 0.500 0.000
6 Al 0.750 0.500 0.500
7 Al 0.500 0.500 0.000
8 Al 0.250 0.500 0.500
9 Al 0.500 0.000 0.000
10 Tm 0.135 0.000 0.730
11 Tm 0.865 0.000 0.270

=====

Entry 10:
Material: Tm4AlCu2
Method: DFT, PBE-GGA
State: relaxed

Calculated values
Space-group type ... R-3m
E ... -4.36 eV/atom
ΔH_f (0 K) ... -100.7 meV/atom
Fermi-level density of states ... 0.904 states/eV per atom
Size of the total moment ... 0.000 μB per atom
Calculated density ... 8.13 Mg/m³
Energy above the most stable polymorph in this dataset ... 82.3 meV/atom

Cell lengths 4.836, 4.836, 8.825 Å; angles 74.10, 74.10, 60.00 degrees
Element x y z (fractional)
1 Tm 0.292 0.292 0.123
2 Tm 0.121 0.121 0.638
3 Tm 0.708 0.708 0.877
4 Tm 0.879 0.879 0.362
5 Al 0.500 0.500 0.500
6 Cu 0.404 0.404 0.787
7 Cu 0.596 0.596 0.213

=====

Entry 11:
Material: TmAl5Cu3
Method: DFT, PBE-GGA
State: relaxed

Calculated values
Space-group type ... Cmcm
E ... -4.17 eV/atom
ΔH_f (0 K) ... -230.6 meV/atom
Fermi-level density of states ... 0.253 states/eV per atom
Size of the total moment ... 0.000 μB per atom
Calculated density ... 5.43 Mg/m³

Cell lengths 3.841, 6.585, 12.507 Å; angles 90.00, 90.00, 106.96 degrees
Element x y z (fractional)
1 Al 0.200 0.400 0.936
2 Al 0.800 0.600 0.436
3 Al 0.441 0.882 0.148
4 Al 0.559 0.118 0.648
5 Al 0.200 0.400 0.564
6 Al 0.000 0.000 0.000
7 Al 0.559 0.118 0.852
8 Al 0.441 0.882 0.352
9 Al 0.000 0.000 0.500
10 Al 0.800 0.600 0.064
11 Tm 0.853 0.706 0.750
12 Tm 0.147 0.294 0.250
13 Cu 0.859 0.717 0.250
14 Cu 0.612 0.223 0.448
15 Cu 0.388 0.777 0.948
16 Cu 0.141 0.283 0.750
17 Cu 0.612 0.223 0.052
18 Cu 0.388 0.777 0.552

=====

Entry 12:
Material: TmAl2Cu10
Method: DFT, PBE-GGA
State: relaxed

Calculated values
Space-group type ... Fmmm
E ... -4.22 eV/atom
ΔH_f (0 K) ... -149.2 meV/atom
Fermi-level density of states ... 0.377 states/eV per atom
Size of the total moment ... 0.000 μB per atom
Calculated density ... 7.98 Mg/m³

Cell lengths 4.961, 6.584, 6.404 Å; angles 81.61, 67.21, 67.87 degrees
Element x y z (fractional)
1 Al 0.000 0.500 0.000
2 Al 0.500 0.500 0.000
3 Cu 0.499 0.783 0.219
4 Cu 0.003 0.348 0.645
5 Cu 0.282 0.217 0.219
6 Cu 0.000 0.000 0.500
7 Cu 0.648 0.348 0.355
8 Cu 0.500 0.000 0.500
9 Cu 0.352 0.652 0.645
10 Cu 0.501 0.217 0.781
11 Cu 0.997 0.652 0.355
12 Cu 0.718 0.783 0.781
13 Tm 0.000 0.000 0.000